Entry 1:
Computed, not measured: Al5Ag2 after structural relaxation at the GGA-PBE level of DFT.

Properties
formation energy from the elements = 128 meV per atom
N(E_F) = 3.25 states/eV/cell
symmetry = R-3m, No. 166

The structure in CIF format:
```
data_Al5Ag2
_chemical_formula_sum 'Al5 Ag2'
_cell_length_a 6.877
_cell_length_b 6.877
_cell_length_c 6.877
_cell_angle_alpha 40.28
_cell_angle_beta 40.28
_cell_angle_gamma 40.28
_space_group_name_H-M_alt 'P 1'
_space_group_IT_number 1
_space_group_name_Hall 'P 1'
loop_
_atom_site_label
_atom_site_type_symbol
_atom_site_fract_x
_atom_site_fract_y
_atom_site_fract_z
Al1 Al 0.000 0.000 0.000
Al2 Al 0.287 0.287 0.287
Al3 Al 0.427 0.427 0.427
Al4 Al 0.573 0.573 0.573
Al5 Al 0.713 0.713 0.713
Ag1 Ag 0.141 0.141 0.141
Ag2 Ag 0.859 0.859 0.859
```



Entry 2:
Computed, not measured: AlAg after structural relaxation at the GGA-PBE level of DFT.

Properties
formation energy from the elements = -23 meV per atom
N(E_F) = 4.71 states/eV/cell
symmetry = Cmmm, No. 65

The structure in CIF format:
```
data_AlAg
_chemical_formula_sum 'Al8 Ag8'
_cell_length_a 6.147
_cell_length_b 11.044
_cell_length_c 4.007
_cell_angle_alpha 90.00
_cell_angle_beta 90.00
_cell_angle_gamma 90.00
_space_group_name_H-M_alt 'P 1'
_space_group_IT_number 1
_space_group_name_Hall 'P 1'
loop_
_atom_site_label
_atom_site_type_symbol
_atom_site_fract_x
_atom_site_fract_y
_atom_site_fract_z
Al1 Al 0.000 0.124 0.000
Al2 Al 0.000 0.876 0.000
Al3 Al 0.245 0.500 0.500
Al4 Al 0.255 0.000 0.500
Al5 Al 0.500 0.376 0.000
Al6 Al 0.500 0.624 0.000
Al7 Al 0.745 0.000 0.500
Al8 Al 0.755 0.500 0.500
Ag1 Ag 0.000 0.374 0.000
Ag2 Ag 0.000 0.626 0.000
Ag3 Ag 0.250 0.250 0.500
Ag4 Ag 0.250 0.750 0.500
Ag5 Ag 0.500 0.126 0.000
Ag6 Ag 0.500 0.874 0.000
Ag7 Ag 0.750 0.250 0.500
Ag8 Ag 0.750 0.750 0.500
```